! PmHoEr2 | Alexandria | PBE | relaxed; values from VASP
&SYSTEM
  ibrav = 0, nat = 4, ntyp = 3
/
ATOMIC_SPECIES
Er 167.26 Er.upf
Pm 145.00 Pm.upf
Ho 164.93 Ho.upf
CELL_PARAMETERS angstrom
-3.221 -1.290 -0.721
0.819 -0.561 6.051
-1.428 5.152 5.863
ATOMIC_POSITIONS crystal
Er 0.227 0.558 0.271
Pm 0.476 0.308 0.020
Ho 0.726 0.058 0.769
Er 0.976 0.808 0.520
! Energy above the lowest structure with this stoichiometry ... 0.001 eV/atom
! Calculated total energy ... -18.4 eV for the cell shown